Crystalline Nd9Ho2Er at its relaxed geometry. Source: Alexandria via LeMat-Bulk, functional PBE.

```
12
Lattice="-3.261 -3.709 -1.447 1.932 0.162 -4.768 10.446 -10.694 3.868" Properties=species:S:1:pos:R:3 pbc="T T T"
Nd -0.665 -1.773 -3.107
Nd 2.815 -5.336 -1.819
Nd 6.301 -8.905 -0.528
Nd 0.108 -3.635 -0.080
Nd 3.592 -7.201 1.210
Nd 7.076 -10.768 2.501
Nd 2.704 -1.699 -1.740
Nd 6.189 -5.266 -0.450
Nd 9.673 -8.833 0.841
Ho 3.479 -3.562 1.289
Ho 6.966 -7.132 2.580
Er 0.000 0.000 0.000
```

Values from the calculation:
For the formation energy, the calculation gives 0.02 eV per atom. Its total energy is -56.4 eV/cell.

***

Crystalline Nd3HoEr7 at its relaxed geometry. Source: Alexandria via LeMat-Bulk, functional PBE.

```
11
Lattice="-4.529 2.215 -2.176 -1.826 -8.599 -4.953 1.518 -2.232 8.419" Properties=species:S:1:pos:R:3 pbc="T T T"
Nd -0.108 -1.164 5.967
Nd -0.913 -4.299 -2.477
Nd -4.730 -7.453 -4.677
Ho -2.419 -4.308 0.645
Er -4.236 -7.147 1.531
Er -4.648 -5.011 -2.355
Er -3.481 -2.020 -1.738
Er -1.356 -6.596 3.027
Er -1.506 -0.009 3.121
Er -0.189 -3.605 3.645
Er -0.601 -1.470 -0.241
```

Values from the calculation:
The value obtained for the polymorph energy (0 for the lowest one) is 0.000 eV/atom. For the formation energy, the calculation gives 0.15 eV per atom. Its total energy is -49.1 eV/cell.

***

Crystalline NdHo2Er at its relaxed geometry. Source: Alexandria via LeMat-Bulk, functional PBE.

```
4
Lattice="-2.154 -2.646 1.017 1.369 -3.148 0.942 0.489 1.681 11.639" Properties=species:S:1:pos:R:3 pbc="T T T"
Nd -0.148 -2.056 6.799
Ho -0.219 -3.067 10.251
Ho -0.078 -1.045 3.347
Er 0.000 0.000 0.000
```

Values from the calculation:
The value obtained for the polymorph energy (0 for the lowest one) is 0.020 eV/atom. For the formation energy, the calculation gives 0.02 eV per atom. Its total energy is -18.4 eV/cell.

***

Total moment readings, ordered: 0.00; 0.00; 0.00 Bohr magnetons per cell